1.
Material: AcPOsO
Method: DFT, PBE
State: optimized geometry

Lattice parameters (Å, degrees): 3.5509 5.6199 7.5620 90.00 90.00 90.00
Last column: nearest neighbours and their distance in Å.
Sites, in units of the cell vectors:
Ac (0.0000, 0.4994, 0.1814)  4 O 2.62-2.67
Ac (0.0000, 0.9994, 0.8186)  4 O 2.62-2.67
O (0.5000, 0.2558, 0.0020)  2 Os 2.22-2.24
O (0.5000, 0.7558, 0.9980)  2 Os 2.22-2.24
Os (0.5000, 0.9995, 0.2285)  2 O 2.22-2.24, 2 P 2.24
Os (0.5000, 0.4995, 0.7715)  2 O 2.22-2.24, 2 P 2.24
P (0.0000, 0.9993, 0.4092)  2 Os 2.24
P (0.0000, 0.4993, 0.5908)  2 Os 2.24

The calculation puts the total energy at -7.443 eV/atom. Its symmetry is Pmc2_1, No. 26.

***

2.
Material: ScBeZnSn
Method: DFT, PBE
State: optimized geometry

Lattice parameters (Å, degrees): 4.6732 4.6732 4.6732 60.00 60.00 60.00
Last column: nearest neighbours and their distance in Å.
Sites, in units of the cell vectors:
Be (0.5000, 0.5000, 0.5000)  4 Zn 2.86, 4 Sc 2.86
Sc (0.2500, 0.2500, 0.2500)  4 Sn 2.86, 4 Be 2.86
Sn (0.0000, 0.0000, 0.0000)  4 Sc 2.86, 4 Zn 2.86
Zn (0.7500, 0.7500, 0.7500)  4 Sn 2.86, 4 Be 2.86

The calculation puts the total energy at -3.670 eV/atom. Its symmetry is F-43m, No. 216.

***

3.
Material: KAgPtO3
Method: DFT, PBE
State: optimized geometry

Lattice parameters (Å, degrees): 3.1768 10.3904 11.5859 90.00 90.00 90.00
Last column: nearest neighbours and their distance in Å.
Sites, in units of the cell vectors:
Ag (0.2500, 0.4098, 0.0380)  2 O 2.14
Ag (0.7500, 0.9098, 0.4621)  2 O 2.14
Ag (0.2500, 0.0901, 0.5379)  2 O 2.14
Ag (0.7500, 0.5901, 0.9621)  2 O 2.14
K (0.2500, 0.6522, 0.2266)  3 O 2.52-2.68
K (0.7500, 0.1522, 0.2734)  3 O 2.52-2.68
K (0.2500, 0.8477, 0.7266)  3 O 2.52-2.68
K (0.7500, 0.3478, 0.7734)  3 O 2.52-2.68
O (0.2500, 0.0510, 0.0869)  3 Pt 2.08-2.09
O (0.7500, 0.2851, 0.0916)  1 Pt 1.99, 2 Ag 2.14
O (0.7500, 0.8033, 0.0994)  2 Pt 2.04
O (0.2500, 0.3034, 0.4005)  2 Pt 2.04
O (0.2500, 0.7851, 0.4085)  1 Pt 1.99, 2 Ag 2.14
O (0.7500, 0.5510, 0.4131)  3 Pt 2.08-2.09
O (0.2500, 0.4489, 0.5869)  3 Pt 2.08-2.09
O (0.7500, 0.2150, 0.5915)  1 Pt 1.99, 2 Ag 2.14
O (0.7500, 0.6966, 0.5994)  2 Pt 2.04
O (0.2500, 0.1968, 0.9006)  2 Pt 2.04
O (0.2500, 0.7150, 0.9085)  1 Pt 1.99, 2 Ag 2.14
O (0.7500, 0.9490, 0.9131)  3 Pt 2.08-2.09
Pt (0.2500, 0.8713, 0.0073)  6 O 1.99-2.09
Pt (0.7500, 0.3712, 0.4927)  6 O 1.99-2.09
Pt (0.2500, 0.6288, 0.5073)  6 O 1.99-2.09
Pt (0.7500, 0.1288, 0.9928)  6 O 1.99-2.09

The calculation puts the total energy at -4.782 eV/atom. Its symmetry is Pnma, No. 62.

***

4.
Material: LiZnCoSb
Method: DFT, PBE
State: optimized geometry

Lattice parameters (Å, degrees): 4.4039 4.4039 4.4039 60.00 60.00 60.00
Last column: nearest neighbours and their distance in Å.
Sites, in units of the cell vectors:
Co (0.5000, 0.5000, 0.5000)  4 Zn 2.70, 4 Li 2.70
Li (0.7500, 0.7500, 0.7500)  4 Co 2.70, 4 Sb 2.70
Sb (0.0000, 0.0000, 0.0000)  4 Zn 2.70, 4 Li 2.70
Zn (0.2500, 0.2500, 0.2500)  4 Co 2.70, 4 Sb 2.70

The calculation puts the total energy at -3.424 eV/atom. Its symmetry is F-43m, No. 216.

***

5.
Material: AcSmLu
Method: DFT, PBE
State: optimized geometry

Lattice parameters (Å, degrees): 5.6196 5.6196 5.6196 60.00 60.00 60.00
Last column: nearest neighbours and their distance in Å.
Sites, in units of the cell vectors:
Ac (0.0000, 0.0000, 0.0000)  4 Lu 3.44
Lu (0.2500, 0.2500, 0.2500)  4 Ac 3.44, 4 Sm 3.44
Sm (0.5000, 0.5000, 0.5000)  4 Lu 3.44

Its symmetry is F-43m, No. 216. For the formation energy, the calculation gives 0.649 eV per atom.

***

6.
Material: TbDyPb2
Method: DFT, PBE
State: optimized geometry

Lattice parameters (Å, degrees): 4.4366 6.2629 6.2629 42.28 90.00 90.00
Last column: nearest neighbours and their distance in Å.
Sites, in units of the cell vectors:
Dy (0.5000, 0.3703, 0.3703)  7 Pb 3.15-3.52
Pb (0.5000, 0.1009, 0.1009)  3 Dy 3.15-3.52, 4 Tb 3.18, 2 Pb 3.24
Pb (0.0000, 0.8991, 0.8991)  3 Tb 3.15-3.52, 4 Dy 3.18, 2 Pb 3.24
Tb (0.0000, 0.6297, 0.6297)  7 Pb 3.15-3.52

The calculation puts the total energy at -4.649 eV/atom. Its symmetry is Amm2, No. 38.

***

Calculated values (μB/f.u.) of magnetic moment for the records, taken in order: 0.00 0.00 0.00 1.23 0.05 0.01.